# ReS2F, optimized geometry, DFT PBE
# - Formation energy from raw total energies: -0.260 eV per atom
# - Relative energy among the computed polymorphs: 516 meV per atom
data_ReS2F
_chemical_formula_sum 'Re4 S8 F4'
_symmetry_space_group_name_H-M 'I -4 2 d'
_symmetry_Int_Tables_number 122
_symmetry_space_group_name_Hall 'I -4 2bw'
_cell_length_a 5.8331
_cell_length_b 5.8331
_cell_length_c 9.5320
_cell_angle_alpha 90.00
_cell_angle_beta 90.00
_cell_angle_gamma 90.00
loop_
_atom_site_label
_atom_site_type_symbol
_atom_site_fract_x
_atom_site_fract_y
_atom_site_fract_z
Re1 Re 0.0000 0.0000 0.0000
S1 S 0.1995 0.2500 0.1250
F1 F 0.0000 0.0000 0.5000